1.
Density functional theory data (PBE-GGA) for ZrZn3Bi after structural relaxation.

abc: 5.147 5.147 5.147
angles: 90.00 90.00 90.00
Element x y z (fractional)
Zr  0.000  0.000  0.000
Zn  0.000  0.500  0.500
Zn  0.500  0.000  0.500
Zn  0.500  0.500  0.000
Bi  0.500  0.500  0.500

Properties
* crystal system: cubic
* space-group type: Pm-3m (221)
* energy above the lowest structure with this stoichiometry: 128 kJ/mol of formula units
* ΔE_f: 1.055 eV per atom

=====

2.
Density functional theory data (PBE-GGA) for Tb3Sm2Y6Ho after structural relaxation.

abc: 6.189 6.189 11.832
angles: 94.98 94.98 119.96
Element x y z (fractional)
Tb  0.000  0.000  0.000
Tb  0.333  0.667  0.000
Tb  0.667  0.333  0.000
Sm  0.167  0.833  0.500
Sm  0.833  0.167  0.500
Y  0.083  0.416  0.249
Y  0.251  0.251  0.751
Y  0.416  0.083  0.249
Y  0.584  0.917  0.751
Y  0.749  0.749  0.249
Y  0.917  0.584  0.751
Ho  0.500  0.500  0.500

Properties
* crystal system: monoclinic
* space-group type: C2/m (12)
* ΔE_f: 0.018 eV per atom

=====

3.
Density functional theory data (PBE-GGA) for Li3GaW after structural relaxation.

abc: 4.284 4.284 4.284
angles: 90.00 90.00 90.00
Element x y z (fractional)
Li  0.000  0.000  0.500
Li  0.000  0.500  0.000
Li  0.500  0.000  0.000
Ga  0.000  0.000  0.000
W  0.500  0.500  0.500

Properties
* crystal system: cubic
* space-group type: Pm-3m (221)
* energy above the lowest structure with this stoichiometry: 0 kJ/mol of formula units
* ΔE_f: 1.172 eV per atom

=====

4.
Density functional theory data (PBE-GGA) for RbLiTl2Mo after structural relaxation.

abc: 5.279 5.279 5.234
angles: 90.00 90.00 90.00
Element x y z (fractional)
Rb  0.000  0.000  0.000
Li  0.500  0.500  0.500
Tl  0.000  0.500  0.500
Tl  0.500  0.000  0.500
Mo  0.500  0.500  0.000

Properties
* crystal system: tetragonal
* space-group type: P4/mmm (123)
* energy above the lowest structure with this stoichiometry: 129 kJ/mol of formula units
* ΔE_f: 0.824 eV per atom

=====

5.
Density functional theory data (PBE-GGA) for Ba8Bi5Sb after structural relaxation.

abc: 9.270 9.270 9.270
angles: 109.51 109.51 109.40
Element x y z (fractional)
Ba  0.018  0.629  0.753
Ba  0.228  0.477  0.105
Ba  0.371  0.124  0.389
Ba  0.372  0.124  0.895
Ba  0.523  0.628  0.752
Ba  0.735  0.982  0.611
Ba  0.876  0.265  0.247
Ba  0.876  0.772  0.248
Bi  0.127  0.252  0.626
Bi  0.250  0.750  0.500
Bi  0.499  0.873  0.126
Bi  0.626  0.501  0.374
Bi  0.748  0.374  0.874
Sb  0.000  0.000  0.000

Properties
* crystal system: tetragonal
* space-group type: I-4 (82)
* ΔE_f (raw): -0.9325 eV/atom

=====

6.
Density functional theory data (PBE-GGA) for CsPuTe after structural relaxation.

abc: 10.659 10.659 5.713
angles: 90.00 90.00 152.81
Element x y z (fractional)
Cs  0.175  0.825  0.750
Cs  0.825  0.175  0.250
Pu  0.500  0.500  0.000
Pu  0.500  0.500  0.500
Te  0.367  0.633  0.750
Te  0.633  0.367  0.250

Properties
* crystal system: orthorhombic
* space-group type: Cmcm (63)
* energy above the lowest structure with this stoichiometry: 0 kJ/mol of formula units
* ΔE_f (raw): -0.4617 eV/atom

=====

7.
Density functional theory data (PBE-GGA) for Y5AgPd4 after structural relaxation.

abc: 3.532 3.532 17.863
angles: 90.00 90.00 90.00
Element x y z (fractional)
Y  0.000  0.000  0.000
Y  0.000  0.000  0.197
Y  0.000  0.000  0.394
Y  0.000  0.000  0.606
Y  0.000  0.000  0.803
Ag  0.500  0.500  0.500
Pd  0.500  0.500  0.099
Pd  0.500  0.500  0.297
Pd  0.500  0.500  0.703
Pd  0.500  0.500  0.901

Properties
* crystal system: tetragonal
* space-group type: P4/mmm (123)
* ΔE_f: -0.760 eV per atom

=====

8.
Density functional theory data (PBE-GGA) for Mn2NiSn after structural relaxation.

abc: 4.267 4.267 4.267
angles: 60.00 60.00 60.00
Element x y z (fractional)
Mn  0.000  0.000  0.000
Mn  0.250  0.250  0.250
Ni  0.750  0.750  0.750
Sn  0.500  0.500  0.500

Properties
* crystal system: cubic
* space-group type: F-43m (216)
* ΔE_f: 0.082 eV per atom

=====

9.
Density functional theory data (PBE-GGA) for BaPdPb2 after structural relaxation.

abc: 5.444 5.444 5.444
angles: 60.00 60.00 60.00
Element x y z (fractional)
Ba  0.000  0.000  0.000
Pd  0.500  0.500  0.500
Pb  0.250  0.250  0.250
Pb  0.750  0.750  0.750

Properties
* crystal system: cubic
* space-group type: Fm-3m (225)
* ΔE_f: -0.190 eV per atom

=====

10.
Density functional theory data (PBE-GGA) for HfCdAg4 after structural relaxation.

abc: 5.463 5.463 5.463
angles: 60.00 60.00 60.00
Element x y z (fractional)
Hf  0.000  0.000  0.000
Cd  0.750  0.750  0.750
Ag  0.375  0.375  0.375
Ag  0.375  0.375  0.875
Ag  0.375  0.875  0.375
Ag  0.875  0.375  0.375

Properties
* crystal system: cubic
* space-group type: F-43m (216)
* ΔE_f: 0.114 eV per atom

=====

11.
Density functional theory data (PBE-GGA) for Cs2BeSiCl6 after structural relaxation.

abc: 7.395 7.395 7.395
angles: 123.40 123.40 84.20
Element x y z (fractional)
Cs  0.250  0.750  0.500
Cs  0.750  0.250  0.500
Be  0.000  0.000  0.000
Si  0.500  0.500  0.000
Cl  0.222  0.222  0.445
Cl  0.222  0.778  0.000
Cl  0.272  0.272  0.000
Cl  0.728  0.728  0.000
Cl  0.778  0.222  0.000
Cl  0.778  0.778  0.555

Properties
* crystal system: tetragonal
* space-group type: I4/mmm (139)
* ΔE_f (raw): -1.2563 eV/atom

=====

12.
Density functional theory data (PBE-GGA) for EuCdInSb after structural relaxation.

abc: 5.481 5.481 5.481
angles: 60.00 60.00 60.00
Element x y z (fractional)
Eu  0.000  0.000  0.000
Cd  0.750  0.750  0.750
In  0.500  0.500  0.500
Sb  0.250  0.250  0.250

Properties
* crystal system: cubic
* space-group type: F-43m (216)
* ΔE_f (raw): -0.3322 eV/atom

=====

Number 1: volume 27.27 A^3/atom. Number 2: volume 32.23 A^3/atom. Number 3: volume 15.73 A^3/atom. Number 4: volume 29.18 A^3/atom. Number 5: volume 43.80 A^3/atom. Number 6: volume 49.44 A^3/atom. Number 7: volume 22.28 A^3/atom. Number 8: volume 13.74 A^3/atom. Number 9: volume 28.53 A^3/atom. Number 10: volume 19.22 A^3/atom. Number 11: volume 26.98 A^3/atom. Number 12: volume 29.11 A^3/atom.